Entry 1:
# Os3C meta-GGA SCAN PBEsol geometry
data_Os3C
_chemical_formula_sum 'Os3 C1'
_cell_length_a 2.7372
_cell_length_b 2.7941
_cell_length_c 6.5212
_cell_angle_alpha 90.00
_cell_angle_beta 90.00
_cell_angle_gamma 90.00
_symmetry_space_group_name_H-M 'P m m 2'
_symmetry_Int_Tables_number 25
_symmetry_space_group_name_Hall 'P 2 -2'
loop_
_atom_site_label
_atom_site_fract_x
_atom_site_fract_y
_atom_site_fract_z
Os1 0.0000 0.0000 0.0000
Os2 0.0000 0.5000 0.3827
Os3 0.5000 0.5000 0.7362
C1 0.5000 0.0000 0.2602
# Total magnetic moment ... 0.00 μB per formula unit
# ΔE_f ... 2.20 eV/f.u.
# Theoretical density ... 19.4 Mg/m³
# Volume ... 12.47 Å³ per atom



Entry 2:
# Os3C meta-GGA SCAN PBEsol geometry
data_Os3C
_chemical_formula_sum 'Os6 C2'
_cell_length_a 2.7170
_cell_length_b 3.4353
_cell_length_c 10.6611
_cell_angle_alpha 90.00
_cell_angle_beta 90.00
_cell_angle_gamma 90.00
_symmetry_space_group_name_H-M 'I m m m'
_symmetry_Int_Tables_number 71
_symmetry_space_group_name_Hall '-I 2 2'
loop_
_atom_site_label
_atom_site_fract_x
_atom_site_fract_y
_atom_site_fract_z
Os1 0.0000 0.0000 0.0000
Os2 0.0000 0.0000 0.3172
C1 0.0000 0.0000 0.5000
# Total magnetic moment ... 0.00 μB per formula unit
# ΔE_f ... 2.90 eV/f.u.
# Theoretical density ... 19.4 Mg/m³
# Volume ... 12.44 Å³ per atom



Entry 3:
# Os4C3 meta-GGA SCAN PBEsol geometry
data_Os4C3
_chemical_formula_sum 'Os4 C3'
_cell_length_a 4.2378
_cell_length_b 4.2378
_cell_length_c 4.2378
_cell_angle_alpha 90.00
_cell_angle_beta 90.00
_cell_angle_gamma 90.00
_symmetry_space_group_name_H-M 'P m -3 m'
_symmetry_Int_Tables_number 221
_symmetry_space_group_name_Hall '-P 4 2 3'
loop_
_atom_site_label
_atom_site_fract_x
_atom_site_fract_y
_atom_site_fract_z
Os1 0.0000 0.0000 0.0000
Os2 0.0000 0.5000 0.5000
C1 0.0000 0.0000 0.5000
# Total magnetic moment ... 1.65 μB per formula unit
# ΔE_f ... 9.64 eV/f.u.
# Theoretical density ... 17.4 Mg/m³
# Volume ... 10.87 Å³ per atom



Entry 4:
# Os3C meta-GGA SCAN PBEsol geometry
data_Os3C
_chemical_formula_sum 'Os9 C3'
_cell_length_a 2.7415
_cell_length_b 2.7415
_cell_length_c 22.0879
_cell_angle_alpha 90.00
_cell_angle_beta 90.00
_cell_angle_gamma 120.00
_symmetry_space_group_name_H-M 'R -3 m'
_symmetry_Int_Tables_number 166
_symmetry_space_group_name_Hall '-R 3 2"'
loop_
_atom_site_label
_atom_site_fract_x
_atom_site_fract_y
_atom_site_fract_z
Os1 0.0000 0.0000 0.0000
Os2 0.0000 0.0000 0.2322
C1 0.0000 0.0000 0.5000
# Total magnetic moment ... 0.00 μB per formula unit
# ΔE_f ... 2.92 eV/f.u.
# Theoretical density ... 20.2 Mg/m³
# Volume ... 11.98 Å³ per atom



Entry 5:
# Os4C3 meta-GGA SCAN PBEsol geometry
data_Os4C3
_chemical_formula_sum 'Os8 C6'
_cell_length_a 2.7333
_cell_length_b 2.7333
_cell_length_c 19.5271
_cell_angle_alpha 90.00
_cell_angle_beta 90.00
_cell_angle_gamma 90.00
_symmetry_space_group_name_H-M 'I 4/m m m'
_symmetry_Int_Tables_number 139
_symmetry_space_group_name_Hall '-I 4 2'
loop_
_atom_site_label
_atom_site_fract_x
_atom_site_fract_y
_atom_site_fract_z
Os1 0.0000 0.0000 0.0654
Os2 0.0000 0.0000 0.3273
C1 0.0000 0.0000 0.2168
C2 0.0000 0.0000 0.5000
# Total magnetic moment ... 0.00 μB per formula unit
# ΔE_f ... 8.26 eV/f.u.
# Theoretical density ... 18.1 Mg/m³
# Volume ... 10.42 Å³ per atom



Entry 6:
# OsC3 meta-GGA SCAN PBEsol geometry
data_OsC3
_chemical_formula_sum 'Os1 C3'
_cell_length_a 2.6412
_cell_length_b 2.6412
_cell_length_c 5.4029
_cell_angle_alpha 90.00
_cell_angle_beta 90.00
_cell_angle_gamma 120.00
_symmetry_space_group_name_H-M 'P -6 m 2'
_symmetry_Int_Tables_number 187
_symmetry_space_group_name_Hall 'P -6 2'
loop_
_atom_site_label
_atom_site_fract_x
_atom_site_fract_y
_atom_site_fract_z
Os1 0.0000 0.0000 0.0000
C1 0.0000 0.0000 0.5000
C2 0.6667 0.3333 0.3045
# Total magnetic moment ... 0.00 μB per formula unit
# ΔE_f ... 10.34 eV/f.u.
# Theoretical density ... 11.5 Mg/m³
# Volume ... 8.16 Å³ per atom



Entry 7:
# Zr2POsC meta-GGA SCAN PBEsol geometry
data_Zr2POsC
_chemical_formula_sum 'Zr2 P1 Os1 C1'
_cell_length_a 4.8015
_cell_length_b 4.8015
_cell_length_c 4.1664
_cell_angle_alpha 90.00
_cell_angle_beta 90.00
_cell_angle_gamma 90.00
_symmetry_space_group_name_H-M 'P 4/m m m'
_symmetry_Int_Tables_number 123
_symmetry_space_group_name_Hall '-P 4 2'
loop_
_atom_site_label
_atom_site_fract_x
_atom_site_fract_y
_atom_site_fract_z
Zr1 0.0000 0.5000 0.0000
P1 0.0000 0.0000 0.0000
Os1 0.0000 0.0000 0.5000
C1 0.5000 0.5000 0.5000
# Total magnetic moment ... 0.00 μB per formula unit
# ΔE_f ... 5.46 eV/f.u.
# Theoretical density ... 7.2 Mg/m³
# Volume ... 19.21 Å³ per atom



Entry 8:
# OsPbC3 meta-GGA SCAN PBEsol geometry
data_OsPbC3
_chemical_formula_sum 'Os1 Pb1 C3'
_cell_length_a 4.2307
_cell_length_b 4.2307
_cell_length_c 4.2307
_cell_angle_alpha 90.00
_cell_angle_beta 90.00
_cell_angle_gamma 90.00
_symmetry_space_group_name_H-M 'P m -3 m'
_symmetry_Int_Tables_number 221
_symmetry_space_group_name_Hall '-P 4 2 3'
loop_
_atom_site_label
_atom_site_fract_x
_atom_site_fract_y
_atom_site_fract_z
Os1 0.0000 0.0000 0.0000
Pb1 0.5000 0.5000 0.5000
C1 0.0000 0.5000 0.5000
# Total magnetic moment ... 1.05 μB per formula unit
# ΔE_f ... 21.60 eV/f.u.
# Theoretical density ... 9.5 Mg/m³
# Volume ... 15.14 Å³ per atom



Entry 9:
# SbOsPbC2 meta-GGA SCAN PBEsol geometry
data_SbOsPbC2
_chemical_formula_sum 'Sb1 Os1 Pb1 C2'
_cell_length_a 4.1996
_cell_length_b 4.1996
_cell_length_c 5.1724
_cell_angle_alpha 90.00
_cell_angle_beta 90.00
_cell_angle_gamma 90.00
_symmetry_space_group_name_H-M 'P 4/m m m'
_symmetry_Int_Tables_number 123
_symmetry_space_group_name_Hall '-P 4 2'
loop_
_atom_site_label
_atom_site_fract_x
_atom_site_fract_y
_atom_site_fract_z
Sb1 0.0000 0.0000 0.0000
Os1 0.0000 0.0000 0.5000
Pb1 0.5000 0.5000 0.5000
C1 0.0000 0.5000 0.0000
# Total magnetic moment ... 2.94 μB per formula unit
# Theoretical density ... 9.9 Mg/m³
# Volume ... 18.24 Å³ per atom
# E_form (uncorrected) ... 2.623 eV per atom



Entry 10:
# Sc2OsPbC meta-GGA SCAN PBEsol geometry
data_Sc2OsPbC
_chemical_formula_sum 'Sc2 Os1 Pb1 C1'
_cell_length_a 5.2578
_cell_length_b 5.2578
_cell_length_c 4.8695
_cell_angle_alpha 90.00
_cell_angle_beta 90.00
_cell_angle_gamma 90.00
_symmetry_space_group_name_H-M 'P 4/m m m'
_symmetry_Int_Tables_number 123
_symmetry_space_group_name_Hall '-P 4 2'
loop_
_atom_site_label
_atom_site_fract_x
_atom_site_fract_y
_atom_site_fract_z
Sc1 0.0000 0.5000 0.0000
Os1 0.0000 0.0000 0.5000
Pb1 0.0000 0.0000 0.0000
C1 0.5000 0.5000 0.5000
# Total magnetic moment ... 0.15 μB per formula unit
# ΔE_f ... 11.79 eV/f.u.
# Theoretical density ... 6.2 Mg/m³
# Volume ... 26.92 Å³ per atom



Entry 11:
# OsPdC2 meta-GGA SCAN PBEsol geometry
data_OsPdC2
_chemical_formula_sum 'Os4 Pd4 C8'
_cell_length_a 5.3976
_cell_length_b 5.3976
_cell_length_c 5.3976
_cell_angle_alpha 90.00
_cell_angle_beta 90.00
_cell_angle_gamma 90.00
_symmetry_space_group_name_H-M 'F m -3 m'
_symmetry_Int_Tables_number 225
_symmetry_space_group_name_Hall '-F 4 2 3'
loop_
_atom_site_label
_atom_site_fract_x
_atom_site_fract_y
_atom_site_fract_z
Os1 0.0000 0.0000 0.0000
Pd1 0.0000 0.0000 0.5000
C1 0.2500 0.2500 0.2500
# Total magnetic moment ... 0.00 μB per formula unit
# ΔE_f ... 7.50 eV/f.u.
# Theoretical density ... 13.5 Mg/m³
# Volume ... 9.83 Å³ per atom



Entry 12:
# OsPdC2Se meta-GGA SCAN PBEsol geometry
data_OsPdC2Se
_chemical_formula_sum 'Os1 Pd1 C2 Se1'
_cell_length_a 3.8334
_cell_length_b 3.8334
_cell_length_c 5.3574
_cell_angle_alpha 90.00
_cell_angle_beta 90.00
_cell_angle_gamma 90.00
_symmetry_space_group_name_H-M 'P 4/m m m'
_symmetry_Int_Tables_number 123
_symmetry_space_group_name_Hall '-P 4 2'
loop_
_atom_site_label
_atom_site_fract_x
_atom_site_fract_y
_atom_site_fract_z
Os1 0.0000 0.0000 0.0000
Pd1 0.5000 0.5000 0.5000
C1 0.0000 0.5000 0.0000
Se1 0.0000 0.0000 0.5000
# Total magnetic moment ... 0.00 μB per formula unit
# Theoretical density ... 8.4 Mg/m³
# Volume ... 15.75 Å³ per atom
# E_form (uncorrected) ... 1.253 eV per atom



Entry 13:
# Pr12Os5C15 meta-GGA SCAN PBEsol geometry
data_Pr12Os5C15
_chemical_formula_sum 'Pr12 Os5 C15'
_cell_length_a 10.9299
_cell_length_b 10.9299
_cell_length_c 5.3297
_cell_angle_alpha 90.00
_cell_angle_beta 90.00
_cell_angle_gamma 120.00
_symmetry_space_group_name_H-M 'P -6 2 m'
_symmetry_Int_Tables_number 189
_symmetry_space_group_name_Hall 'P -6 -2'
loop_
_atom_site_label
_atom_site_fract_x
_atom_site_fract_y
_atom_site_fract_z
Pr1 0.0000 0.4269 0.0000
Pr2 0.0000 0.7947 0.0000
Pr3 0.1854 0.7262 0.5000
Os1 0.0000 0.1603 0.5000
Os2 0.3333 0.6667 0.0000
C1 0.0000 0.3315 0.5000
C2 0.0000 0.4534 0.5000
C3 0.0000 0.8007 0.5000
C4 0.1859 0.7118 0.0000
# Total magnetic moment ... 0.00 μB per formula unit
# ΔE_f ... -10.61 eV/f.u.
# Theoretical density ... 8.5 Mg/m³
# Volume ... 17.23 Å³ per atom



Entry 14:
# TlOs2PtC meta-GGA SCAN PBEsol geometry
data_TlOs2PtC
_chemical_formula_sum 'Tl1 Os2 Pt1 C1'
_cell_length_a 4.1191
_cell_length_b 4.1191
_cell_length_c 4.2203
_cell_angle_alpha 90.00
_cell_angle_beta 90.00
_cell_angle_gamma 90.00
_symmetry_space_group_name_H-M 'P 4/m m m'
_symmetry_Int_Tables_number 123
_symmetry_space_group_name_Hall '-P 4 2'
loop_
_atom_site_label
_atom_site_fract_x
_atom_site_fract_y
_atom_site_fract_z
Tl1 0.0000 0.0000 0.0000
Os1 0.0000 0.5000 0.5000
Pt1 0.5000 0.5000 0.0000
C1 0.5000 0.5000 0.5000
# Total magnetic moment ... 0.00 μB per formula unit
# ΔE_f ... 4.42 eV/f.u.
# Theoretical density ... 18.4 Mg/m³
# Volume ... 14.32 Å³ per atom



Entry 15:
# YOsPtC2 meta-GGA SCAN PBEsol geometry
data_YOsPtC2
_chemical_formula_sum 'Y1 Os1 Pt1 C2'
_cell_length_a 4.1962
_cell_length_b 4.1962
_cell_length_c 5.0885
_cell_angle_alpha 90.00
_cell_angle_beta 90.00
_cell_angle_gamma 90.00
_symmetry_space_group_name_H-M 'P 4/m m m'
_symmetry_Int_Tables_number 123
_symmetry_space_group_name_Hall '-P 4 2'
loop_
_atom_site_label
_atom_site_fract_x
_atom_site_fract_y
_atom_site_fract_z
Y1 0.0000 0.0000 0.0000
Os1 0.5000 0.5000 0.5000
Pt1 0.0000 0.0000 0.5000
C1 0.0000 0.5000 0.0000
# Total magnetic moment ... 1.81 μB per formula unit
# ΔE_f ... 14.62 eV/f.u.
# Theoretical density ... 9.2 Mg/m³
# Volume ... 17.92 Å³ per atom



Entry 16:
# Rb2OsC meta-GGA SCAN PBEsol geometry
data_Rb2OsC
_chemical_formula_sum 'Rb8 Os4 C4'
_cell_length_a 12.1091
_cell_length_b 12.1091
_cell_length_c 3.8618
_cell_angle_alpha 90.00
_cell_angle_beta 90.00
_cell_angle_gamma 90.00
_symmetry_space_group_name_H-M 'I -4 2 d'
_symmetry_Int_Tables_number 122
_symmetry_space_group_name_Hall 'I -4 2bw'
loop_
_atom_site_label
_atom_site_fract_x
_atom_site_fract_y
_atom_site_fract_z
Rb1 0.0255 0.7500 0.1250
Os1 0.0000 0.0000 0.5000
C1 0.0000 0.0000 0.0000
# Total magnetic moment ... 1.24 μB per formula unit
# ΔE_f ... 3.48 eV/f.u.
# Theoretical density ... 4.4 Mg/m³
# Volume ... 35.39 Å³ per atom



Entry 17:
# ReOsC2 meta-GGA SCAN PBEsol geometry
data_ReOsC2
_chemical_formula_sum 'Re4 Os4 C8'
_cell_length_a 4.6053
_cell_length_b 4.6053
_cell_length_c 9.1491
_cell_angle_alpha 90.00
_cell_angle_beta 90.00
_cell_angle_gamma 90.00
_symmetry_space_group_name_H-M 'I -4 2 d'
_symmetry_Int_Tables_number 122
_symmetry_space_group_name_Hall 'I -4 2bw'
loop_
_atom_site_label
_atom_site_fract_x
_atom_site_fract_y
_atom_site_fract_z
Re1 0.0000 0.0000 0.0000
Os1 0.0000 0.0000 0.5000
C1 0.2475 0.2500 0.6250
# Total magnetic moment ... 1.01 μB per formula unit
# ΔE_f ... 3.16 eV/f.u.
# Theoretical density ... 13.7 Mg/m³
# Volume ... 12.13 Å³ per atom



Entry 18:
# SiOs2RhC meta-GGA SCAN PBEsol geometry
data_SiOs2RhC
_chemical_formula_sum 'Si1 Os2 Rh1 C1'
_cell_length_a 4.6412
_cell_length_b 4.6412
_cell_length_c 4.3290
_cell_angle_alpha 90.00
_cell_angle_beta 90.00
_cell_angle_gamma 90.00
_symmetry_space_group_name_H-M 'P 4/m m m'
_symmetry_Int_Tables_number 123
_symmetry_space_group_name_Hall '-P 4 2'
loop_
_atom_site_label
_atom_site_fract_x
_atom_site_fract_y
_atom_site_fract_z
Si1 0.0000 0.0000 0.0000
Os1 0.0000 0.5000 0.5000
Rh1 0.0000 0.0000 0.5000
C1 0.5000 0.5000 0.0000
# Total magnetic moment ... 0.00 μB per formula unit
# Theoretical density ... 9.3 Mg/m³
# Volume ... 18.65 Å³ per atom
# E_form (uncorrected) ... 3.169 eV per atom



Entry 19:
# OsRuC2 meta-GGA SCAN PBEsol geometry
data_OsRuC2
_chemical_formula_sum 'Os4 Ru4 C8'
_cell_length_a 5.3089
_cell_length_b 5.3089
_cell_length_c 5.3089
_cell_angle_alpha 90.00
_cell_angle_beta 90.00
_cell_angle_gamma 90.00
_symmetry_space_group_name_H-M 'F m -3 m'
_symmetry_Int_Tables_number 225
_symmetry_space_group_name_Hall '-F 4 2 3'
loop_
_atom_site_label
_atom_site_fract_x
_atom_site_fract_y
_atom_site_fract_z
Os1 0.0000 0.0000 0.0000
Ru1 0.0000 0.0000 0.5000
C1 0.2500 0.2500 0.2500
# Total magnetic moment ... 0.00 μB per formula unit
# ΔE_f ... 5.68 eV/f.u.
# Theoretical density ... 14.0 Mg/m³
# Volume ... 9.35 Å³ per atom



Entry 20:
# SnOsRuC2 meta-GGA SCAN PBEsol geometry
data_SnOsRuC2
_chemical_formula_sum 'Sn1 Os1 Ru1 C2'
_cell_length_a 3.8400
_cell_length_b 3.8400
_cell_length_c 5.4910
_cell_angle_alpha 90.00
_cell_angle_beta 90.00
_cell_angle_gamma 90.00
_symmetry_space_group_name_H-M 'P 4/m m m'
_symmetry_Int_Tables_number 123
_symmetry_space_group_name_Hall '-P 4 2'
loop_
_atom_site_label
_atom_site_fract_x
_atom_site_fract_y
_atom_site_fract_z
Sn1 0.0000 0.0000 0.0000
Os1 0.5000 0.5000 0.0000
Ru1 0.0000 0.0000 0.5000
C1 0.0000 0.5000 0.5000
# Total magnetic moment ... 1.26 μB per formula unit
# ΔE_f ... 10.07 eV/f.u.
# Theoretical density ... 8.9 Mg/m³
# Volume ... 16.19 Å³ per atom